Computed, not measured: a geometry-optimized SbMoC2N structure at the PBE level of DFT.

abc: 3.830 4.212 3.830
angles: 90.00 90.00 90.00
Fractional coordinates of all 5 atoms:
Sb 0.000 0.500 0.000
Mo 0.500 0.500 0.500
C 0.000 0.000 0.500
C 0.500 0.000 0.000
N 0.000 0.000 0.000

Summary:
**Calculated volume**: 12.36 A^3/atom
**Space group**: P4/mmm (123)
**Density**: 6.87 g cm⁻³
**Formation energy without anion corrections**: 2.6401 eV/atom
**Energy relative to the lowest polymorph listed for this composition**: 1140.4 meV per atom